(1)
Density functional theory data (PBE) for an optimized crystal structure of GdAl9Ni3.

Properties
ρ: 4.517 g/cm³
V: 16.3 A^3/atom
D(E_F): 4.34 states/eV/cell
Calculated formation energy: -0.5256 eV per atom

Lattice parameters (Å, degrees): 10.089 10.089 10.089 42.45 42.45 42.45
Fractional positions:
Gd 0.167 0.167 0.167
Gd 0.833 0.833 0.833
Al 0.000 0.666 0.334
Al 0.052 0.052 0.052
Al 0.102 0.432 0.761
Al 0.239 0.568 0.898
Al 0.282 0.282 0.282
Al 0.293 0.707 0.500
Al 0.334 0.000 0.666
Al 0.387 0.387 0.387
Al 0.432 0.761 0.102
Al 0.500 0.293 0.707
Al 0.568 0.898 0.239
Al 0.613 0.613 0.613
Al 0.666 0.334 0.000
Al 0.707 0.500 0.293
Al 0.718 0.718 0.718
Al 0.761 0.102 0.432
Al 0.898 0.239 0.568
Al 0.948 0.948 0.948
Ni 0.078 0.758 0.418
Ni 0.242 0.922 0.582
Ni 0.418 0.078 0.758
Ni 0.582 0.242 0.922
Ni 0.758 0.418 0.078
Ni 0.922 0.582 0.242


(2)
Density functional theory data (PBE) for an optimized crystal structure of GdAlNi4.

Properties
ρ: 8.088 g/cm³
V: 14.3 A^3/atom
D(E_F): 3.62 states/eV/cell
Calculated formation energy: -0.5069 eV per atom

Lattice parameters (Å, degrees): 4.924 4.924 4.028 90.00 90.00 118.29
Fractional positions:
Gd 0.000 0.000 0.000
Al 0.500 0.500 0.500
Ni 0.000 0.500 0.500
Ni 0.333 0.667 0.000
Ni 0.500 0.000 0.500
Ni 0.667 0.333 0.000


(3)
Density functional theory data (PBE) for an optimized crystal structure of GdAlNi2.

Properties
ρ: 7.900 g/cm³
V: 15.9 A^3/atom
D(E_F): 3.50 states/eV/cell
Calculated formation energy: -0.3848 eV per atom

Lattice parameters (Å, degrees): 3.137 3.137 6.445 90.00 90.00 90.00
Fractional positions:
Gd 0.000 0.000 0.000
Al 0.000 0.000 0.500
Ni 0.500 0.500 0.303
Ni 0.500 0.500 0.697


(4)
Density functional theory data (PBE) for an optimized crystal structure of PrGdAlNi.

Properties
ρ: 6.766 g/cm³
V: 23.5 A^3/atom
D(E_F): 3.63 states/eV/cell
Calculated formation energy: -0.2212 eV per atom

Lattice parameters (Å, degrees): 5.107 5.107 5.107 60.00 60.00 60.00
Fractional positions:
Pr 0.000 0.000 0.000
Gd 0.500 0.500 0.500
Al 0.750 0.750 0.750
Ni 0.250 0.250 0.250


(5)
Density functional theory data (PBE) for an optimized crystal structure of GdAlNiRh.

Properties
ρ: 8.543 g/cm³
V: 16.8 A^3/atom
D(E_F): 2.92 states/eV/cell
Calculated formation energy: -0.5818 eV per atom

Lattice parameters (Å, degrees): 4.564 4.564 4.564 60.00 60.00 60.00
Fractional positions:
Gd 0.000 0.000 0.000
Al 0.500 0.500 0.500
Ni 0.250 0.250 0.250
Rh 0.750 0.750 0.750


(6)
Density functional theory data (PBE) for an optimized crystal structure of Gd3AlO.

Properties
ρ: 7.732 g/cm³
E_tot: -57.6 eV per cell
V: 22.1 A^3/atom
D(E_F): 3.71 states/eV/cell

Lattice parameters (Å, degrees): 4.799 4.799 4.799 90.00 90.00 90.00
Fractional positions:
Gd 0.000 0.000 0.500
Gd 0.000 0.500 0.000
Gd 0.500 0.000 0.000
Al 0.500 0.500 0.500
O 0.000 0.000 0.000